No. 1
VASP calculation (PBEsol) on crystalline Cd2CuF at its relaxed geometry.

Structure (extended XYZ):
```
4
Lattice="-3.342 0.777 -2.860 -2.410 -3.405 -1.596 -4.235 -0.547 1.312" Properties=species:S:1:pos:R:3 pbc="T T T"
Cd -7.490 -2.381 -2.359
Cu -4.994 -1.587 -1.572
F 0.000 0.000 0.000
Cd -2.497 -0.794 -0.786
```

Properties
- N(E_F) (states/eV/f.u.) = 1.256
- space-group type = Fm-3m, No. 225
- crystal system = cubic
- uncorrected formation energy (eV per formula unit) = -1.542
- theoretical density (kg/m³) = 8100
- size of the total moment (μB per formula unit) = 0.00

No. 2
VASP calculation (PBEsol) on crystalline NaCdCuF2 at its relaxed geometry.

Structure (extended XYZ):
```
5
Lattice="4.035 0.000 0.000 0.000 4.035 0.000 0.000 0.000 5.323" Properties=species:S:1:pos:R:3 pbc="T T T"
Cd 2.018 2.018 2.661
Cu 0.000 0.000 0.000
Na 0.000 0.000 2.661
F 2.018 0.000 0.000
F 0.000 2.018 0.000
```

Properties
- N(E_F) (states/eV/f.u.) = 1.430
- space-group type = P4/mmm, No. 123
- crystal system = tetragonal
- uncorrected formation energy (eV per formula unit) = -3.970
- theoretical density (kg/m³) = 4539
- size of the total moment (μB per formula unit) = 0.00

No. 3
VASP calculation (PBEsol) on crystalline RbCdCu2F at its relaxed geometry.

Structure (extended XYZ):
```
5
Lattice="-2.708 -2.283 -2.717 -0.630 -3.055 3.194 -4.263 2.833 1.868" Properties=species:S:1:pos:R:3 pbc="T T T"
Cu -1.354 -1.142 -1.359
Rb -3.800 -1.253 1.172
Cd -2.132 1.416 0.934
Cu -0.315 -1.527 1.597
F 0.000 0.000 0.000
```

Properties
- N(E_F) (states/eV/f.u.) = 2.868
- space-group type = P4/mmm, No. 123
- crystal system = tetragonal
- uncorrected formation energy (eV per formula unit) = 1.277
- theoretical density (kg/m³) = 5260
- size of the total moment (μB per formula unit) = 0.00

No. 4
VASP calculation (PBEsol) on crystalline Cd2FeCu at its relaxed geometry.

Structure (extended XYZ):
```
4
Lattice="2.878 0.000 0.000 0.000 4.623 0.000 -1.439 -2.312 4.664" Properties=species:S:1:pos:R:3 pbc="T T T"
Cu 1.439 2.312 0.151
Cd 1.439 0.000 2.464
Fe 0.000 2.312 2.173
Cd 1.439 2.312 4.540
```

Properties
- N(E_F) (states/eV/f.u.) = 2.963
- space-group type = Imm2, No. 44
- crystal system = orthorhombic
- polymorph energy (0 for the lowest one) (kcal/mol of atoms) = 1.64
- theoretical density (kg/m³) = 9211
- size of the total moment (μB per formula unit) = 2.48

No. 5
VASP calculation (PBEsol) on crystalline Cd2FeCu at its relaxed geometry.

Structure (extended XYZ):
```
4
Lattice="-1.399 -2.016 1.494 2.426 -0.651 1.393 -1.675 5.086 5.295" Properties=species:S:1:pos:R:3 pbc="T T T"
Cd -1.625 4.935 5.138
Cu -0.883 2.682 2.793
Cd 0.037 0.113 2.949
Fe -0.689 2.318 5.245
```

Properties
- N(E_F) (states/eV/f.u.) = 2.120
- space-group type = P4mm, No. 99
- crystal system = tetragonal
- polymorph energy (0 for the lowest one) (kcal/mol of atoms) = 0.00
- theoretical density (kg/m³) = 9198
- size of the total moment (μB per formula unit) = 2.62

No. 6
VASP calculation (PBEsol) on crystalline CdFeCu at its relaxed geometry.

Structure (extended XYZ):
```
3
Lattice="-1.261 -1.911 1.536 0.284 -1.830 -2.042 5.359 0.318 2.320" Properties=species:S:1:pos:R:3 pbc="T T T"
Cd 0.011 -0.003 0.005
Cu 1.260 -2.427 0.489
Fe 3.111 -0.991 1.321
```

Properties
- N(E_F) (states/eV/f.u.) = 1.725
- space-group type = I4mm, No. 107
- crystal system = tetragonal
- theoretical density (kg/m³) = 9185
- electronic total energy (eV per atom) = -4.580
- size of the total moment (μB per formula unit) = 2.50

No. 7
VASP calculation (PBEsol) on crystalline Cd2FeCu at its relaxed geometry.

Structure (extended XYZ):
```
4
Lattice="-2.110 -0.289 -3.359 -2.709 -2.214 1.892 0.428 4.500 1.698" Properties=species:S:1:pos:R:3 pbc="T T T"
Cu -2.410 -1.252 -0.733
Fe -2.345 0.517 1.429
Cd -2.046 1.480 -1.197
Cd 0.000 0.000 0.000
```

Properties
- N(E_F) (states/eV/f.u.) = 3.947
- space-group type = I-4m2, No. 119
- crystal system = tetragonal
- polymorph energy (0 for the lowest one) (kcal/mol of atoms) = 2.98
- theoretical density (kg/m³) = 9203
- size of the total moment (μB per formula unit) = 2.65

No. 8
VASP calculation (PBEsol) on crystalline CdFeCu4Sn2Se8 at its relaxed geometry.

Structure (extended XYZ):
```
16
Lattice="5.723 0.000 0.000 0.000 5.723 0.000 0.000 0.000 11.295" Properties=species:S:1:pos:R:3 pbc="T T T"
Se 1.534 1.534 7.122
Se 1.438 4.285 9.647
Se 4.189 4.189 7.122
Cd 0.000 0.000 0.000
Cu 0.000 2.862 8.383
Sn 2.862 2.862 0.000
Sn 0.000 0.000 5.647
Se 4.189 1.534 4.173
Cu 2.862 0.000 2.911
Se 1.534 4.189 4.173
Se 4.285 4.285 1.647
Fe 2.862 2.862 5.647
Cu 2.862 0.000 8.383
Cu 0.000 2.862 2.911
Se 1.438 1.438 1.647
Se 4.285 1.438 9.647
```

Properties
- N(E_F) (states/eV/f.u.) = 4.012
- space-group type = P-42m, No. 111
- crystal system = tetragonal
- uncorrected formation energy (eV per formula unit) = -4.205
- theoretical density (kg/m³) = 5797
- size of the total moment (μB per formula unit) = 3.89

No. 9
VASP calculation (PBEsol) on crystalline Cd2Fe3Cu10Sn5Se20 at its relaxed geometry.

Structure (extended XYZ):
```
40
Lattice="6.906 0.006 0.000 -2.172 6.556 0.000 -2.367 -3.281 20.233" Properties=species:S:1:pos:R:3 pbc="T T T"
Sn -2.692 1.942 16.304
Cu -1.639 -1.316 18.240
Cu 0.732 1.971 18.240
Se 4.089 -0.678 16.256
Se -0.450 2.596 3.976
Sn 4.175 1.977 7.957
Sn 4.190 1.966 0.000
Se 4.309 -0.644 12.197
Se 0.573 -0.414 18.090
Cd 4.177 1.975 12.148
Se -0.230 2.630 8.036
Se 4.300 -0.386 3.976
Se -1.590 6.136 1.825
Se 2.916 2.885 14.264
Cu 0.728 1.965 1.992
Se 0.583 -0.421 14.420
Se 4.338 -0.605 8.036
Cu 0.741 1.978 5.955
Se 1.929 5.872 0.000
Se -0.229 2.880 0.000
Cu 3.099 5.252 1.992
Se 2.950 2.860 5.813
Fe 1.797 -1.297 16.264
Cu 0.724 1.955 14.277
Se 2.911 2.889 10.031
Cd 1.810 -1.306 8.085
Cu 3.091 5.236 5.955
Fe -0.357 5.246 0.000
Se -3.957 2.855 18.408
Se -0.201 2.670 12.197
Fe 4.165 1.984 3.969
Se 0.549 -0.396 5.969
Se 2.940 2.868 2.143
Cu -1.627 -1.303 14.277
Cu 5.260 -1.301 10.116
Se 0.543 -0.392 10.202
Sn 1.808 -1.305 12.276
Cu 0.721 1.974 10.116
Sn -0.324 5.223 3.928
Se -0.238 2.889 16.256
```

Properties
- N(E_F) (states/eV/f.u.) = 12.508
- space-group type = Fmm2, No. 42
- crystal system = orthorhombic
- uncorrected formation energy (eV per formula unit) = -10.091
- theoretical density (kg/m³) = 5800
- size of the total moment (μB per formula unit) = 11.23

No. 10
VASP calculation (PBEsol) on crystalline CdFeCuTe2 at its relaxed geometry.

Structure (extended XYZ):
```
5
Lattice="-0.707 4.432 -0.599 -4.259 -0.331 2.578 2.479 0.966 4.221" Properties=species:S:1:pos:R:3 pbc="T T T"
Fe 0.000 0.000 0.000
Cd -1.243 2.534 3.100
Te -2.130 -0.165 1.289
Cu -0.353 2.216 -0.300
Te 1.240 0.483 2.110
```

Properties
- N(E_F) (states/eV/f.u.) = 3.570
- space-group type = P4/mmm, No. 123
- crystal system = tetragonal
- uncorrected formation energy (eV per formula unit) = 2.417
- theoretical density (kg/m³) = 7173
- size of the total moment (μB per formula unit) = 2.42

No. 11
VASP calculation (PBEsol) on crystalline LiCdGaCu2 at its relaxed geometry.

Structure (extended XYZ):
```
5
Lattice="-4.090 0.115 -1.076 -0.844 -2.974 2.889 -0.719 3.190 3.073" Properties=species:S:1:pos:R:3 pbc="T T T"
Ga -2.827 0.165 2.443
Cd -0.360 1.595 1.536
Cu -2.045 0.057 -0.538
Li 0.000 0.000 0.000
Cu -0.422 -1.487 1.445
```

Properties
- N(E_F) (states/eV/f.u.) = 1.646
- space-group type = P4/mmm, No. 123
- crystal system = tetragonal
- theoretical density (kg/m³) = 6535
- electronic total energy (eV per atom) = -2.439
- size of the total moment (μB per formula unit) = 0.00

No. 12
VASP calculation (PBEsol) on crystalline Mg2CdGaCu at its relaxed geometry.

Structure (extended XYZ):
```
5
Lattice="-3.729 2.776 1.325 -0.802 -2.888 3.793 2.980 2.715 2.698" Properties=species:S:1:pos:R:3 pbc="T T T"
Mg -1.864 1.388 0.662
Mg -0.401 -1.444 1.896
Ga -0.776 1.302 3.907
Cu 0.000 0.000 0.000
Cd 1.490 1.358 1.349
```

Properties
- N(E_F) (states/eV/f.u.) = 2.092
- space-group type = P4/mmm, No. 123
- crystal system = tetragonal
- theoretical density (kg/m³) = 4312
- electronic total energy (eV per atom) = -2.232
- size of the total moment (μB per formula unit) = 0.00

No. 13
VASP calculation (PBEsol) on crystalline Cd2GaCuTe4 at its relaxed geometry.

Structure (extended XYZ):
```
8
Lattice="6.198 0.000 0.000 0.000 6.198 0.000 -3.099 -3.099 6.309" Properties=species:S:1:pos:R:3 pbc="T T T"
Te 4.684 4.684 1.420
Cd 3.099 0.000 3.155
Cd 0.000 3.099 3.155
Cu 0.000 0.000 0.000
Te 1.586 -1.586 4.889
Ga 3.099 3.099 0.000
Te 1.513 1.513 1.420
Te -1.586 1.586 4.889
```

Properties
- N(E_F) (states/eV/f.u.) = 0.026
- space-group type = I-42m, No. 121
- crystal system = tetragonal
- uncorrected formation energy (eV per formula unit) = -2.308
- theoretical density (kg/m³) = 5951
- size of the total moment (μB per formula unit) = 0.00

No. 14
VASP calculation (PBEsol) on crystalline MnCd2CuGe at its relaxed geometry.

Structure (extended XYZ):
```
5
Lattice="-4.346 0.694 -0.581 -0.984 -4.002 2.582 -0.120 2.656 4.072" Properties=species:S:1:pos:R:3 pbc="T T T"
Cd -0.492 -2.001 1.291
Mn -2.725 -0.326 3.037
Cu 0.000 0.000 0.000
Ge -2.173 0.347 -0.290
Cd -0.060 1.328 2.036
```

Properties
- N(E_F) (states/eV/f.u.) = 2.172
- space-group type = P4/mmm, No. 123
- crystal system = tetragonal
- theoretical density (kg/m³) = 6578
- electronic total energy (eV per atom) = -3.627
- size of the total moment (μB per formula unit) = 4.44

No. 15
VASP calculation (PBEsol) on crystalline CdCuReGe2 at its relaxed geometry.

Structure (extended XYZ):
```
5
Lattice="-1.839 0.130 4.317 -2.968 -3.447 -1.160 3.499 -3.550 1.597" Properties=species:S:1:pos:R:3 pbc="T T T"
Cu -0.654 -3.433 2.378
Re 0.000 0.000 0.000
Ge -0.919 0.065 2.159
Ge -1.484 -1.724 -0.580
Cd 1.750 -1.775 0.799
```

Properties
- N(E_F) (states/eV/f.u.) = 3.698
- space-group type = P4/mmm, No. 123
- crystal system = tetragonal
- theoretical density (kg/m³) = 7305
- electronic total energy (eV per atom) = -4.915
- size of the total moment (μB per formula unit) = 0.00

No. 16
VASP calculation (PBEsol) on crystalline CdCuSn2Ge at its relaxed geometry.

Structure (extended XYZ):
```
5
Lattice="4.684 0.000 0.000 0.000 5.373 0.000 0.000 0.000 5.373" Properties=species:S:1:pos:R:3 pbc="T T T"
Sn 0.000 0.000 2.687
Cu 2.342 0.000 0.000
Sn 0.000 2.687 0.000
Cd 0.000 0.000 0.000
Ge 2.342 2.687 2.687
```

Properties
- N(E_F) (states/eV/f.u.) = 2.876
- space-group type = P4/mmm, No. 123
- crystal system = tetragonal
- theoretical density (kg/m³) = 5968
- electronic total energy (eV per atom) = -2.952
- size of the total moment (μB per formula unit) = 0.00

No. 17
VASP calculation (PBEsol) on crystalline CdCuTcGe2 at its relaxed geometry.

Structure (extended XYZ):
```
5
Lattice="-4.666 -0.455 1.312 1.000 -4.292 2.069 1.012 2.367 4.421" Properties=species:S:1:pos:R:3 pbc="T T T"
Cd 0.000 0.000 0.000
Tc 0.506 1.183 2.211
Cu -1.327 -1.190 3.901
Ge -2.333 -0.228 0.656
Ge 0.500 -2.146 1.034
```

Properties
- N(E_F) (states/eV/f.u.) = 3.152
- space-group type = P4/mmm, No. 123
- crystal system = tetragonal
- theoretical density (kg/m³) = 5742
- electronic total energy (eV per atom) = -3.533
- size of the total moment (μB per formula unit) = 3.25

No. 18
VASP calculation (PBEsol) on crystalline CdCuH2 at its relaxed geometry.

Structure (extended XYZ):
```
4
Lattice="-2.053 3.189 0.569 -3.175 -0.121 2.148 -0.042 1.662 3.456" Properties=species:S:1:pos:R:3 pbc="T T T"
H -3.952 3.547 4.629
Cd -2.634 2.365 3.086
Cu 0.000 0.000 0.000
H -1.317 1.182 1.543
```

Properties
- N(E_F) (states/eV/f.u.) = 0.568
- space-group type = Fm-3m, No. 225
- crystal system = cubic
- theoretical density (kg/m³) = 7412
- electronic total energy (eV per atom) = -2.348
- size of the total moment (μB per formula unit) = 0.00

No. 19
VASP calculation (PBEsol) on crystalline HfCdIn2Cu at its relaxed geometry.

Structure (extended XYZ):
```
5
Lattice="4.765 0.000 0.000 0.000 5.556 0.000 0.000 0.000 5.556" Properties=species:S:1:pos:R:3 pbc="T T T"
In 0.000 0.000 2.778
In 0.000 2.778 0.000
Hf 0.000 0.000 0.000
Cu 2.383 0.000 0.000
Cd 2.383 2.778 2.778
```

Properties
- N(E_F) (states/eV/f.u.) = 4.106
- space-group type = P4/mmm, No. 123
- crystal system = tetragonal
- polymorph energy (0 for the lowest one) (kcal/mol of atoms) = 13.89
- theoretical density (kg/m³) = 6593
- size of the total moment (μB per formula unit) = 0.00

No. 20
VASP calculation (PBEsol) on crystalline HfCdIn2Cu at its relaxed geometry.

Structure (extended XYZ):
```
5
Lattice="4.787 0.000 0.000 0.000 4.787 0.000 0.000 0.000 4.959" Properties=species:S:1:pos:R:3 pbc="T T T"
In 2.393 0.000 0.000
In 0.000 2.393 0.000
Cu 0.000 0.000 0.000
Hf 0.000 0.000 2.479
Cd 2.393 2.393 2.479
```

Properties
- N(E_F) (states/eV/f.u.) = 2.790
- space-group type = P4/mmm, No. 123
- crystal system = tetragonal
- polymorph energy (0 for the lowest one) (kcal/mol of atoms) = 0.00
- theoretical density (kg/m³) = 8536
- size of the total moment (μB per formula unit) = 0.00